{
  "formula": "Rb2Sn2Hg3S8",
  "functional": "SCAN",
  "state": "PBEsol geometry",
  "dos_at_fermi_per_ev_cell": 0.00,
  "formation_energy_uncorrected_kcal_per_mol_atoms": -13.9,
  "magmom_total_mub_per_fu": 0.0,
  "density_g_cm3": 4.8,
  "energy_ev_per_atom": -26.92,
  "lattice": [[6.570, 0.000, 0.000], [0.000, 10.073, 0.062], [0.000, -1.714, 13.236]],
  "species": ["Rb", "Rb", "Rb", "Rb", "Sn", "Sn", "Sn", "Sn", "Hg", "Hg", "Hg", "Hg", "Hg", "Hg", "S", "S", "S", "S", "S", "S", "S", "S", "S", "S", "S", "S", "S", "S", "S", "S"],
  "frac_coords": [[0.655, 0.276, 0.187], [0.155, 0.724, 0.313], [0.845, 0.276, 0.687], [0.345, 0.724, 0.813], [0.814, 0.782, 0.580], [0.186, 0.218, 0.420], [0.314, 0.218, 0.920], [0.686, 0.782, 0.080], [0.206, 0.000, 0.119], [0.294, 0.000, 0.619], [0.794, 0.000, 0.881], [0.000, 0.500, 0.000], [0.706, 0.000, 0.381], [0.500, 0.500, 0.500], [0.180, 0.770, 0.576], [0.304, 0.422, 0.358], [0.314, 0.236, 0.590], [0.320, 0.770, 0.076], [0.696, 0.578, 0.642], [0.680, 0.230, 0.924], [0.804, 0.578, 0.142], [0.686, 0.764, 0.410], [0.179, 0.029, 0.820], [0.196, 0.422, 0.858], [0.186, 0.236, 0.090], [0.821, 0.971, 0.180], [0.820, 0.230, 0.424], [0.814, 0.764, 0.910], [0.321, 0.029, 0.320], [0.679, 0.971, 0.680]]
}

{
  "formula": "RbPt2Rh",
  "functional": "SCAN",
  "state": "PBEsol geometry",
  "dos_at_fermi_per_ev_cell": 1.05,
  "magmom_total_mub_per_fu": 1.7,
  "density_g_cm3": 13.3,
  "energy_ev_per_atom": -47.77,
  "e_form_mev_per_atom": 950,
  "lattice": [[-1.424, 1.039, 4.328], [-1.395, -3.404, 2.881], [2.637, -1.179, 3.674]],
  "species": ["Rh", "Rb", "Pt", "Pt"],
  "frac_coords": [[0.500, 0.500, 0.500], [0.000, 0.000, 0.000], [0.250, 0.250, 0.250], [0.750, 0.750, 0.750]]
}